# 1
PBE-GGA TbThCSe, relaxed; total moment = 0.0 μB per formula unit; formation energy (no corrections) = -103 kJ/mol of atoms; symmetry = R3m
1.0
3.8283 0.0000 0.0000
-1.9141 3.3154 0.0000
0.0000 0.0000 20.7725
Tb Th C Se
3 3 3 3
direct
0.0000 0.0000 0.0000 Tb
0.3333 0.6667 0.6667 Tb
0.6667 0.3333 0.3333 Tb
0.0000 0.0000 0.7995 Th
0.3333 0.6667 0.4662 Th
0.6667 0.3333 0.1328 Th
0.0000 0.0000 0.4039 C
0.3333 0.6667 0.0705 C
0.6667 0.3333 0.7372 C
0.0000 0.0000 0.2366 Se
0.3333 0.6667 0.9033 Se
0.6667 0.3333 0.5700 Se

# 2
PBE-GGA Tb8Tl3CSe3, relaxed; total moment = 0.0 μB per formula unit; formation energy (no corrections) = -84 kJ/mol of atoms; symmetry = P-1
1.0
7.9282 0.0000 0.0000
3.9615 6.8680 0.0000
3.9619 2.2834 7.7924
Tb Tl C Se
8 3 1 3
direct
0.2102 0.2097 0.3057 Tb
0.2099 0.7737 0.3062 Tb
0.2257 0.7903 0.6941 Tb
0.2602 0.2605 0.7192 Tb
0.7398 0.7395 0.2808 Tb
0.7743 0.2097 0.3059 Tb
0.7901 0.2263 0.6938 Tb
0.7898 0.7903 0.6943 Tb
0.0000 0.0000 0.0000 Tl
0.0000 0.5000 0.0000 Tl
0.5000 0.0000 0.0000 Tl
0.0000 0.0000 0.5000 C
0.0000 0.5000 0.5000 Se
0.5000 0.0000 0.5000 Se
0.5000 0.5000 0.5000 Se

# 3
PBE-GGA TbTmCSe, relaxed; total moment = 0.0 μB per formula unit; formation energy (no corrections) = -108 kJ/mol of atoms; symmetry = R3m
1.0
3.7139 0.0000 0.0000
-1.8569 3.2163 0.0000
0.0000 0.0000 20.0797
Tb Tm C Se
3 3 3 3
direct
0.0000 0.0000 0.0000 Tb
0.3333 0.6667 0.6667 Tb
0.6667 0.3333 0.3333 Tb
0.0000 0.0000 0.2006 Tm
0.3333 0.6667 0.8673 Tm
0.6667 0.3333 0.5339 Tm
0.0000 0.0000 0.5986 C
0.3333 0.6667 0.2652 C
0.6667 0.3333 0.9319 C
0.0000 0.0000 0.7702 Se
0.3333 0.6667 0.4368 Se
0.6667 0.3333 0.1035 Se

# 4
PBE-GGA TcCSe2, relaxed; total moment = 1.0 μB per formula unit; formation energy (no corrections) = 103 kJ/mol of atoms; symmetry = R-3m
1.0
3.6435 0.0000 0.0000
-1.8217 3.1553 0.0000
0.0000 0.0000 19.2873
Tc C Se
3 3 6
direct
0.0000 0.0000 0.0000 Tc
0.3333 0.6667 0.6667 Tc
0.6667 0.3333 0.3333 Tc
0.0000 0.0000 0.5000 C
0.3333 0.6667 0.1667 C
0.6667 0.3333 0.8333 C
0.0000 0.0000 0.4087 Se
0.0000 0.0000 0.5913 Se
0.3333 0.6667 0.0753 Se
0.3333 0.6667 0.2580 Se
0.6667 0.3333 0.7420 Se
0.6667 0.3333 0.9247 Se